Record 1
# MgSi2PbAu

Crystalline MgSi2PbAu at its relaxed geometry (GGA-PBE, Alexandria via LeMat-Bulk).

Properties
formation energy (no corrections) = 296 kJ/mol of formula units

Cell: 4.777 5.972 4.777 Å, 90.00 90.00 90.00°
Atoms (fractional coordinates):
Si 0.000 0.000 0.500
Au 0.000 0.000 0.000
Pb 0.000 0.500 0.000
Si 0.500 0.000 0.000
Mg 0.500 0.500 0.500

Record 2
# Ir8RuRh2

Crystalline Ir8RuRh2 at its relaxed geometry (GGA-PBE, Alexandria via LeMat-Bulk).

Properties
E_tot = -95.1 eV for the cell shown

Cell: 3.859 6.105 7.228 Å, 104.62 105.48 90.00°
Atoms (fractional coordinates):
Ir 0.956 0.271 0.912
Rh 0.226 0.636 0.453
Ir 0.681 0.908 0.362
Rh 0.774 0.364 0.547
Ir 0.319 0.092 0.638
Ru 0.500 0.000 0.000
Ir 0.135 0.177 0.270
Ir 0.865 0.823 0.730
Ir 0.410 0.547 0.819
Ir 0.044 0.729 0.088
Ir 0.590 0.453 0.181

Record 3
# Na2SiPdS

Crystalline Na2SiPdS at its relaxed geometry (GGA-PBE, Alexandria via LeMat-Bulk).

Properties
formation energy (no corrections) = 55 kJ/mol of formula units

Cell: 5.079 5.079 4.587 Å, 90.00 90.00 90.00°
Atoms (fractional coordinates):
Na 0.500 0.000 0.000
Na 0.000 0.500 0.000
Si 0.500 0.500 0.500
Pd 0.000 0.000 0.500
S 0.000 0.000 0.000

Record 4
# Tl8Hg2O3

Crystalline Tl8Hg2O3 at its relaxed geometry (GGA-PBE, Alexandria via LeMat-Bulk).

Properties
formation energy (no corrections) = -453 kJ/mol of formula units

Cell: 6.217 7.182 9.813 Å, 111.47 98.62 90.00°
Atoms (fractional coordinates):
Tl 0.627 0.669 0.837
O 0.500 0.000 0.000
O 0.000 0.750 0.000
Tl 0.877 0.585 0.170
Tl 0.881 0.089 0.178
Tl 0.119 0.911 0.822
Hg 0.602 0.753 0.507
Hg 0.398 0.247 0.493
Tl 0.373 0.331 0.163
O 0.000 0.250 0.000
Tl 0.373 0.833 0.163
Tl 0.123 0.415 0.830
Tl 0.627 0.167 0.837

Copy entry 1 word for word.
# MgSi2PbAu

Crystalline MgSi2PbAu at its relaxed geometry (GGA-PBE, Alexandria via LeMat-Bulk).

Properties
formation energy (no corrections) = 296 kJ/mol of formula units

Cell: 4.777 5.972 4.777 Å, 90.00 90.00 90.00°
Atoms (fractional coordinates):
Si 0.000 0.000 0.500
Au 0.000 0.000 0.000
Pb 0.000 0.500 0.000
Si 0.500 0.000 0.000
Mg 0.500 0.500 0.500